# CaMn9CdO10, optimized geometry, DFT PBE with a Hubbard U
data_CaMn9CdO10
_chemical_formula_sum 'Ca1 Mn9 Cd1 O10'
_symmetry_space_group_name_H-M 'P 1'
_symmetry_Int_Tables_number 1
_symmetry_space_group_name_Hall 'P 1'
_cell_length_a 5.5473
_cell_length_b 5.5511
_cell_length_c 9.9926
_cell_angle_alpha 97.53
_cell_angle_beta 94.65
_cell_angle_gamma 107.23
loop_
_atom_site_label
_atom_site_type_symbol
_atom_site_fract_x
_atom_site_fract_y
_atom_site_fract_z
_atom_site_occupancy
Mn1 Mn 0.2524 0.0982 0.7006 1
Mn2 Mn 0.1703 0.0200 0.3859 1
Mn3 Mn 0.6436 0.9722 0.2306 1
Mn4 Mn 0.1231 0.9514 0.0690 1
Mn5 Mn 0.6698 0.5187 0.4119 1
Mn6 Mn 0.7006 0.0543 0.5503 1
Mn7 Mn 0.1354 0.4812 0.2220 1
Mn8 Mn 0.2151 0.5711 0.5470 1
Mn9 Mn 0.5870 0.4164 0.0751 1
O1 O 0.3638 0.6841 0.0655 1
O2 O 0.9703 0.8350 0.5401 1
O3 O 0.3880 0.2269 0.2293 1
O4 O 0.9162 0.2786 0.3985 1
O5 O 0.4333 0.2970 0.5460 1
O6 O 0.4763 0.8614 0.6820 1
O7 O 0.8494 0.1759 0.0712 1
O8 O 0.4257 0.7622 0.3800 1
O9 O 0.8945 0.7288 0.2070 1
O10 O 0.3138 0.1408 0.9150 1
Cd1 Cd 0.0201 0.4159 0.8758 1
Ca1 Ca 0.5703 0.8789 0.8973 1
# * crystal system: triclinic
# * relative energy among the computed polymorphs: 36 meV per atom